# 1
DFT (SCAN) results for a PBEsol-optimized structure of ZnAgCl.

ΔE_f (raw) = -0.1909 eV/atom
Relative energy among the computed polymorphs = 160.3 meV/atom
Symmetry = No. 107

Cell lengths 3.084, 3.084, 5.972 Å; angles 104.96, 104.96, 90.00 degrees
Fractional coordinates of all 3 atoms:
1 Zn 0.335 0.335 0.671
2 Ag 0.978 0.978 0.957
3 Cl 0.686 0.686 0.373

# 2
DFT (SCAN) results for a PBEsol-optimized structure of ZnAg2Cl.

ΔE_f (raw) = -0.0803 eV/atom
Relative energy among the computed polymorphs = 90.7 meV/atom
Symmetry = No. 99

Cell lengths 3.002, 3.002, 7.652 Å; angles 90.00, 90.00, 90.00 degrees
Fractional coordinates of all 4 atoms:
1 Zn 0.500 0.500 0.754
2 Ag 0.000 0.000 0.981
3 Ag 0.500 0.500 0.231
4 Cl 0.000 0.000 0.534

# 3
DFT (SCAN) results for a PBEsol-optimized structure of ZnAgCl.

ΔE_f (raw) = -0.3512 eV/atom
Relative energy among the computed polymorphs = 0.0 meV/atom
Symmetry = No. 156

Cell lengths 3.308, 3.308, 5.682 Å; angles 90.00, 90.00, 120.00 degrees
Fractional coordinates of all 3 atoms:
1 Zn 0.333 0.667 0.338
2 Ag 0.000 0.000 0.028
3 Cl 0.667 0.333 0.634

# 4
DFT (SCAN) results for a PBEsol-optimized structure of ZnAgCl.

ΔE_f (raw) = 0.2739 eV/atom
Relative energy among the computed polymorphs = 625.1 meV/atom
Symmetry = No. 216

Cell lengths 4.538, 4.538, 4.538 Å; angles 60.00, 60.00, 60.00 degrees
Fractional coordinates of all 3 atoms:
1 Zn 0.000 0.000 0.000
2 Ag 0.500 0.500 0.500
3 Cl 0.750 0.750 0.750

# 5
DFT (SCAN) results for a PBEsol-optimized structure of Zr3AgCl.

ΔE_f (raw) = 0.8439 eV/atom
Symmetry = No. 221

Cell lengths 5.134, 5.134, 5.134 Å; angles 90.00, 90.00, 90.00 degrees
Site moments in Bohr magnetons follow the coordinates.
Fractional coordinates of all 5 atoms:
1 Zr 0.000 0.500 0.000  0.48
2 Zr 0.000 0.000 0.500  0.48
3 Zr 0.500 0.000 0.000  0.48
4 Ag 0.000 0.000 0.000  0.02
5 Cl 0.500 0.500 0.500  0.04

# 6
DFT (SCAN) results for a PBEsol-optimized structure of CoAg.

Symmetry = No. 187
Energy of formation from the pure elements = 0.44 eV/atom

Cell lengths 2.659, 2.659, 4.465 Å; angles 90.00, 90.00, 120.00 degrees
Site moments in Bohr magnetons follow the coordinates.
Fractional coordinates of all 2 atoms:
1 Co 0.667 0.333 0.500  1.94
2 Ag 0.000 0.000 0.000  -0.06

# 7
DFT (SCAN) results for a PBEsol-optimized structure of CoAg2.

Symmetry = No. 191
Energy of formation from the pure elements = 0.57 eV/atom

Cell lengths 2.595, 4.491, 4.491 Å; angles 120.00, 90.00, 90.00 degrees
Site moments in Bohr magnetons follow the coordinates.
Fractional coordinates of all 3 atoms:
1 Co 0.500 0.000 0.000  1.98
2 Ag 0.000 0.667 0.333  -0.02
3 Ag 0.000 0.333 0.667  -0.02

# 8
DFT (SCAN) results for a PBEsol-optimized structure of Co3Ag.

Symmetry = No. 225
Energy of formation from the pure elements = 0.40 eV/atom

Cell lengths 4.089, 4.089, 4.089 Å; angles 60.00, 60.00, 60.00 degrees
Site moments in Bohr magnetons follow the coordinates.
Fractional coordinates of all 4 atoms:
1 Co 0.250 0.250 0.250  1.88
2 Co 0.500 0.500 0.500  2.06
3 Co 0.750 0.750 0.750  1.88
4 Ag 0.000 0.000 0.000  -0.03

# 9
DFT (SCAN) results for a PBEsol-optimized structure of CoAg.

Symmetry = No. 141
Energy of formation from the pure elements = 0.39 eV/atom

Cell lengths 3.788, 3.788, 4.618 Å; angles 114.21, 114.21, 90.00 degrees
Site moments in Bohr magnetons follow the coordinates.
Fractional coordinates of all 4 atoms:
1 Co 0.750 0.250 0.500  1.90
2 Co 0.500 0.500 0.000  1.90
3 Ag 0.000 0.000 0.000  -0.01
4 Ag 0.250 0.750 0.500  -0.01

# 10
DFT (SCAN) results for a PBEsol-optimized structure of Co3Ag.

Symmetry = No. 123
Energy of formation from the pure elements = 0.24 eV/atom

Cell lengths 2.586, 2.586, 7.167 Å; angles 90.00, 90.00, 89.97 degrees
Site moments in Bohr magnetons follow the coordinates.
Fractional coordinates of all 4 atoms:
1 Co 0.000 0.000 0.500  1.77
2 Co 0.500 0.500 0.281  1.86
3 Co 0.500 0.500 0.719  1.86
4 Ag 0.000 0.000 0.000  -0.03

# 11
DFT (SCAN) results for a PBEsol-optimized structure of CoAg5.

Relative energy among the computed polymorphs = 0.0 meV/atom
Symmetry = No. 216
Energy of formation from the pure elements = 0.49 eV/atom

Cell lengths 5.251, 5.251, 5.251 Å; angles 60.00, 60.00, 60.00 degrees
Site moments in Bohr magnetons follow the coordinates.
Fractional coordinates of all 6 atoms:
1 Ag 0.375 0.375 0.375  0.00
2 Ag 0.750 0.750 0.750  -0.01
3 Ag 0.875 0.375 0.375  0.00
4 Ag 0.375 0.875 0.375  0.00
5 Ag 0.375 0.375 0.875  0.00
6 Co 0.000 0.000 0.000  2.28

# 12
DFT (SCAN) results for a PBEsol-optimized structure of CoAg5.

Relative energy among the computed polymorphs = 44.3 meV/atom
Symmetry = No. 191
Energy of formation from the pure elements = 0.53 eV/atom

Cell lengths 4.640, 5.206, 5.206 Å; angles 120.00, 90.00, 90.00 degrees
Site moments in Bohr magnetons follow the coordinates.
Fractional coordinates of all 6 atoms:
1 Ag 0.500 0.000 0.500  0.00
2 Ag 0.000 0.667 0.333  0.00
3 Ag 0.500 0.500 0.500  0.00
4 Ag 0.500 0.500 0.000  0.00
5 Ag 0.000 0.333 0.667  0.00
6 Co 0.000 0.000 0.000  2.23